# KRbCd2 (PBE, relaxed)
data_KRbCd2
_chemical_formula_sum 'K1 Rb1 Cd2'
_cell_length_a 6.236
_cell_length_b 6.236
_cell_length_c 4.419
_cell_angle_alpha 90.00
_cell_angle_beta 90.00
_cell_angle_gamma 90.00
_space_group_name_H-M_alt 'P 4/m m m'
_space_group_IT_number 123
_space_group_name_Hall '-P 4 2'
loop_
_atom_site_label
_atom_site_fract_x
_atom_site_fract_y
_atom_site_fract_z
_atom_site_occupancy
K1 0.000 0.000 0.000 1
Rb1 0.500 0.500 0.000 1
Cd1 0.000 0.500 0.500 1
# - crystal system = tetragonal
# - DFT total energy (eV/atom) = -0.951